12
Lattice="-1.742 -4.094 5.330 6.905 -1.513 1.094 0.504 5.451 4.352" Properties=species:S:1:pos:R:3 comment="AgBiTe PBE-GGA relaxed" vol_a3_per_atom=28.9 crystal_system=orthorhombic spacegroup="Pca2_1, No. 29" raw_formation_energy_ev_per_atom=0.01 final_energy_ry_per_atom=-0.2412 pbc="T T T"
Te 1.868 -1.525 2.913
Te 1.139 -2.030 6.809
Te 4.061 0.776 5.397
Te 3.333 0.271 9.293
Bi 0.104 1.995 7.237
Bi 0.857 2.763 3.551
Bi 5.992 -1.143 2.228
Bi 5.240 -1.911 5.915
Ag 1.247 0.249 5.084
Ag 4.680 2.278 7.764
Ag 0.131 -4.447 5.634
Ag 3.565 -2.418 8.314

***

5
Lattice="4.105 0.000 0.000 0.000 4.105 0.000 2.052 2.052 7.925" Properties=species:S:1:pos:R:3 comment="Ag2BiTe2 PBE-GGA relaxed" vol_a3_per_atom=26.7 crystal_system=tetragonal spacegroup="I4/mmm, No. 139" raw_formation_energy_ev_per_atom=0.06 final_energy_ry_per_atom=-0.2286 pbc="T T T"
Te 2.052 2.052 1.832
Te 4.105 4.105 6.093
Bi 0.000 0.000 0.000
Ag 4.105 2.052 3.962
Ag 2.052 4.105 3.962

***

11
Lattice="4.634 0.000 0.000 2.317 4.013 0.000 2.317 1.338 18.732" Properties=species:S:1:pos:R:3 comment="Ag4Bi2Te5 PBE-GGA relaxed" vol_a3_per_atom=31.7 crystal_system=trigonal spacegroup="R-3m, No. 166" raw_formation_energy_ev_per_atom=-0.04 final_energy_ry_per_atom=-0.2361 pbc="T T T"
Ag 6.950 4.013 17.553
Ag 4.634 2.675 4.585
Ag 4.634 2.675 14.147
Ag 2.317 1.338 1.179
Bi 2.317 1.338 11.220
Bi 6.950 4.013 7.512
Te 6.950 4.013 12.931
Te 4.634 2.675 1.861
Te 4.634 2.675 9.366
Te 4.634 2.675 16.871
Te 2.317 1.338 5.801

***

8
Lattice="6.457 0.000 0.000 0.000 6.457 0.000 3.228 3.228 7.466" Properties=species:S:1:pos:R:3 comment="AgBi2Te PBE-GGA relaxed" vol_a3_per_atom=38.9 crystal_system=tetragonal spacegroup="I-42d, No. 122" raw_formation_energy_ev_per_atom=0.26 final_energy_ry_per_atom=-0.2339 pbc="T T T"
Te 0.000 0.000 0.000
Te 6.457 3.228 3.733
Bi 4.598 1.614 1.867
Bi 1.859 4.842 1.867
Bi 4.842 5.087 5.600
Bi 8.071 7.826 5.600
Ag 3.228 3.228 0.000
Ag 3.228 6.457 3.733

***

12
Lattice="4.389 0.000 0.000 0.000 9.412 0.728 0.000 -2.893 9.554" Properties=species:S:1:pos:R:3 comment="TlAgBiTe3 PBE-GGA relaxed" vol_a3_per_atom=33.7 crystal_system=monoclinic spacegroup="P2_1/m, No. 11" raw_formation_energy_ev_per_atom=-0.16 final_energy_ry_per_atom=-0.2384 pbc="T T T"
Tl 3.291 5.407 7.720
Tl 1.097 1.112 2.562
Ag 1.097 -1.040 5.663
Ag 3.291 7.558 4.619
Bi 1.097 5.976 1.760
Bi 3.291 0.543 8.522
Te 1.097 5.820 5.029
Te 3.291 8.224 1.799
Te 3.291 3.699 2.020
Te 3.291 0.699 5.254
Te 1.097 2.820 8.262
Te 1.097 -1.705 8.484

***

4
Lattice="4.345 0.000 0.000 0.000 5.118 0.000 0.000 0.000 5.118" Properties=species:S:1:pos:R:3 comment="Th2AgBi PBE-GGA relaxed" vol_a3_per_atom=28.5 ef_kj_per_mol_atoms=-25.2 crystal_system=tetragonal spacegroup="P4/mmm, No. 123" final_energy_ry_per_atom=-0.4156 pbc="T T T"
Ag 2.173 0.000 0.000
Bi 2.173 2.559 2.559
Th 0.000 0.000 2.559
Th 0.000 2.559 0.000

***

20
Lattice="-0.696 -4.003 -4.960 6.438 -0.915 -0.164 -1.303 -10.762 8.869" Properties=species:S:1:pos:R:3 comment="ThAgBi3 PBE-GGA relaxed" vol_a3_per_atom=29.2 ef_kj_per_mol_atoms=-23.8 crystal_system=orthorhombic spacegroup="Pbcm, No. 57" final_energy_ry_per_atom=-0.3403 pbc="T T T"
Th 1.852 -10.831 2.266
Th 2.588 -4.849 1.479
Th -0.887 -6.406 -0.921
Th 5.327 -9.274 4.666
Ag 1.106 -3.514 -1.463
Ag 3.681 -10.164 7.688
Ag 3.333 -12.166 5.208
Ag 1.454 -1.512 1.017
Bi 0.958 -5.612 4.396
Bi 3.830 -8.066 1.829
Bi 4.177 -6.064 4.309
Bi 0.610 -7.614 1.916
Bi -0.438 -11.134 6.977
Bi 4.878 -4.546 -3.231
Bi 3.899 -2.356 -0.718
Bi 0.541 -13.324 4.463
Bi 2.016 -9.375 5.213
Bi 2.424 -6.305 -1.468
Bi 5.851 -4.740 0.934
Bi -1.411 -10.939 2.812

***

4
Lattice="3.472 0.000 0.000 1.736 3.006 0.000 1.736 1.002 11.672" Properties=species:S:1:pos:R:3 comment="Th2AgBi PBE-GGA relaxed" vol_a3_per_atom=30.5 ef_kj_per_mol_atoms=9.6 crystal_system=trigonal spacegroup="R-3m, No. 166" final_energy_ry_per_atom=-0.3891 pbc="T T T"
Ag 3.472 2.004 5.836
Bi 0.000 0.000 0.000
Th 1.736 1.002 8.384
Th 5.207 3.006 3.288

***

12
Lattice="6.223 0.000 0.000 0.000 7.688 0.000 0.000 0.000 7.688" Properties=species:S:1:pos:R:3 comment="Th4AgBi PBE-GGA relaxed" vol_a3_per_atom=30.7 ef_kj_per_mol_atoms=-15.8 crystal_system=tetragonal spacegroup="P4/mcc, No. 124" final_energy_ry_per_atom=-0.4581 pbc="T T T"
Th 0.000 1.229 4.959
Th 0.000 6.459 2.729
Th 0.000 2.729 1.229
Th 0.000 4.959 6.459
Th 3.112 6.459 4.959
Th 3.112 1.229 2.729
Th 3.112 4.959 1.229
Th 3.112 2.729 6.459
Ag 1.556 3.844 3.844
Ag 4.667 3.844 3.844
Bi 1.556 0.000 0.000
Bi 4.667 0.000 0.000

***

20
Lattice="8.084 0.000 0.000 0.000 9.365 -0.937 0.000 -3.004 8.920" Properties=species:S:1:pos:R:3 comment="Th6AgBi3 PBE-GGA relaxed" vol_a3_per_atom=32.6 ef_kj_per_mol_atoms=-11.4 crystal_system=orthorhombic spacegroup="Cmc2_1, No. 36" final_energy_ry_per_atom=-0.4424 pbc="T T T"
Th 0.772 5.450 5.251
Th 4.814 3.902 6.484
Th 2.225 1.863 7.470
Th 6.267 6.866 3.483
Th 2.234 8.950 -0.606
Th 5.612 0.478 6.145
Th 1.570 5.883 1.838
Th 6.276 -2.588 8.589
Th 2.225 -0.505 4.500
Th 6.267 4.499 0.512
Th 0.772 2.459 1.498
Th 4.814 0.912 2.732
Ag 0.284 -0.741 7.117
Ag 4.326 7.103 0.866
Bi 3.749 6.766 5.393
Bi 7.791 3.747 7.799
Bi 2.511 2.830 4.271
Bi 6.553 3.532 3.712
Bi 7.791 -0.404 2.590
Bi 3.749 2.615 0.184

***

8
Lattice="-4.059 0.697 -1.552 1.421 -3.432 -5.258 -3.343 -5.268 6.376" Properties=species:S:1:pos:R:3 comment="Th2AgBi PBE-GGA relaxed" vol_a3_per_atom=29.6 ef_kj_per_mol_atoms=-25.9 crystal_system=monoclinic spacegroup="P2_1/m, No. 11" final_energy_ry_per_atom=-0.4161 pbc="T T T"
Th -4.232 -2.464 0.600
Th -1.749 -5.538 -1.035
Th -0.186 -2.964 -3.965
Th -5.795 -5.038 3.531
Ag -3.077 -3.270 -2.781
Ag -2.903 -4.732 2.346
Bi -1.246 -2.051 -0.784
Bi -4.735 -5.951 0.349

***

7
Lattice="-0.509 4.000 2.242 -0.216 -2.274 4.008 9.970 0.734 0.953" Properties=species:S:1:pos:R:3 comment="Th2AgBi4 PBE-GGA relaxed" vol_a3_per_atom=30.5 ef_kj_per_mol_atoms=-41.4 crystal_system=tetragonal spacegroup="P-4m2, No. 115" final_energy_ry_per_atom=-0.3803 pbc="T T T"
Th 7.289 2.555 1.842
Th 2.318 -0.959 2.236
Ag -0.362 0.863 3.125
Bi 1.451 2.125 1.284
Bi 8.156 -0.529 2.794
Bi 4.623 1.230 3.602
Bi 4.985 0.367 0.477

***

- Which formula does entry 9 have?
  Th4AgBi

***

Please write out number 1 again, unchanged.
12
Lattice="-1.742 -4.094 5.330 6.905 -1.513 1.094 0.504 5.451 4.352" Properties=species:S:1:pos:R:3 comment="AgBiTe PBE-GGA relaxed" vol_a3_per_atom=28.9 crystal_system=orthorhombic spacegroup="Pca2_1, No. 29" raw_formation_energy_ev_per_atom=0.01 final_energy_ry_per_atom=-0.2412 pbc="T T T"
Te 1.868 -1.525 2.913
Te 1.139 -2.030 6.809
Te 4.061 0.776 5.397
Te 3.333 0.271 9.293
Bi 0.104 1.995 7.237
Bi 0.857 2.763 3.551
Bi 5.992 -1.143 2.228
Bi 5.240 -1.911 5.915
Ag 1.247 0.249 5.084
Ag 4.680 2.278 7.764
Ag 0.131 -4.447 5.634
Ag 3.565 -2.418 8.314